Li2FePCO7: optimized geometry, PBE with a Hubbard U.

Calculated values
* spin magnetization: 3.062 μB/f.u.
* uncorrected energy: -6.745 eV per atom
* symmetry: P1, No. 1
* DOS(E_F): 0.000 states/eV per atom

Unit cell a=5.0227 b=6.3485 c=8.4138 alpha=95.24 beta=95.30 gamma=93.05
Fractional coordinates of all 24 atoms:
O (0.1456, 0.1427, 0.3083)
O (0.9060, 0.0359, 0.6445)
O (0.1748, 0.4011, 0.5581)
O (0.8602, 0.7704, 0.3923)
O (0.4015, 0.8747, 0.8904)
O (0.5656, 0.2950, 0.7930)
O (0.7741, 0.6594, 0.6685)
O (0.2800, 0.5271, 0.2889)
O (0.0780, 0.8310, 0.0598)
O (0.6035, 0.3057, 0.4286)
O (0.7030, 0.3365, 0.0609)
O (0.4492, 0.8872, 0.5209)
O (0.9847, 0.3810, 0.8673)
O (0.5054, 0.8655, 0.1553)
P (0.2962, 0.3445, 0.4008)
P (0.7482, 0.8364, 0.5548)
Li (0.7863, 0.7975, 0.8853)
Li (0.2948, 0.0557, 0.7190)
Li (0.7567, 0.1379, 0.2286)
Li (0.6463, 0.5738, 0.2179)
C (0.7504, 0.3357, 0.9157)
C (0.3255, 0.8582, 0.0274)
Fe (0.2143, 0.8356, 0.3161)
Fe (0.8309, 0.3500, 0.6429)